{"formula": "ZnAg2Sb", "functional": "PBE", "state": "relaxed", "lattice_angstrom": [[3.0460, 0.0000, 0.0000], [0.0000, 4.6879, 0.0000], [-1.4759, 0.0000, 5.8035]], "species": ["Zn", "Ag", "Ag", "Sb"], "fractional_positions": [[0.0000, 0.0000, 0.0000], [0.3050, 0.0000, 0.6026], [0.8794, 0.5000, 0.7556], [0.1469, 0.5000, 0.2859]], "raw_formation_energy_kcal_per_mol_atoms": 2.08, "relative_energy_kcal_per_mol_atoms": 0.44}

---

{"formula": "Nb14GaPt", "functional": "PBE", "state": "relaxed", "lattice_angstrom": [[3.4141, -4.6001, 0.0000], [3.4141, 4.6001, 0.0000], [0.0000, 0.0000, 9.1392]], "species": ["Nb", "Nb", "Nb", "Nb", "Nb", "Nb", "Nb", "Nb", "Nb", "Nb", "Nb", "Nb", "Nb", "Nb", "Ga", "Pt"], "fractional_positions": [[0.0000, 0.0000, 0.0000], [0.0000, 0.5000, 0.0000], [0.0000, 0.5000, 0.5000], [0.2463, 0.7537, 0.2578], [0.2463, 0.7537, 0.7422], [0.2535, 0.2535, 0.2522], [0.2535, 0.2535, 0.7478], [0.5000, 0.0000, 0.0000], [0.5000, 0.0000, 0.5000], [0.5000, 0.5000, 0.0000], [0.7465, 0.7465, 0.2522], [0.7465, 0.7465, 0.7478], [0.7537, 0.2463, 0.2578], [0.7537, 0.2463, 0.7422], [0.0000, 0.0000, 0.5000], [0.5000, 0.5000, 0.5000]], "ef_ev_per_atom": -0.14}

---

{"formula": "Np2Tl3NiS6", "functional": "PBE", "state": "relaxed", "lattice_angstrom": [[3.3432, -5.7767, 0.0000], [3.3432, 5.7767, 0.0000], [-2.2378, 0.0000, 7.5916]], "species": ["Np", "Np", "Tl", "Tl", "Tl", "Ni", "S", "S", "S", "S", "S", "S"], "fractional_positions": [[0.1664, 0.8336, 0.0000], [0.8336, 0.1664, 0.0000], [0.0000, 0.0000, 0.5000], [0.3311, 0.6689, 0.5000], [0.6689, 0.3311, 0.5000], [0.5000, 0.5000, 0.0000], [0.1183, 0.4373, 0.8122], [0.2422, 0.2422, 0.1914], [0.4373, 0.1183, 0.8122], [0.5627, 0.8817, 0.1878], [0.7578, 0.7578, 0.8086], [0.8817, 0.5627, 0.1878]], "raw_formation_energy_kcal_per_mol_atoms": -17.43}

---

{"formula": "Mg2CdRe", "functional": "PBE", "state": "relaxed", "lattice_angstrom": [[1.7322, -2.2383, 0.0000], [1.7322, 2.2383, 0.0000], [0.0000, 0.0000, 9.4022]], "species": ["Mg", "Mg", "Cd", "Re"], "fractional_positions": [[0.0000, 0.0000, 0.2300], [0.0000, 0.0000, 0.7700], [0.5000, 0.5000, 0.5000], [0.5000, 0.5000, 0.0000]], "ef_ev_per_atom": 0.23}

---

no.,M_tot (μB/atom),V (Å³ per cell),N(E_F) (states/eV/cell)
1,0.00,83,1.04
2,0.00,287,17.52
3,0.42,293,21.64
4,0.00,73,2.97